Material: AcP4Ru4
Method: DFT, PBE-GGA
State: relaxed

Calculated values
As for the density: 8.8 Mg/m³. Its formation enthalpy at 0 K is -0.626 eV/atom. The value obtained for the magnetization is 0.00 μB per cell.

abc: 5.9996 5.9996 7.9257
angles: 90.00 90.00 90.00
With the nearest neighbours (Å) after each atom.
Atoms (fractional coordinates):
1 Ac 0.2500 0.7500 0.2500  12 P 3.15-3.51, 12 Ru 3.37-3.45
2 Ac 0.7500 0.2500 0.7500  12 P 3.15-3.51, 12 Ru 3.37-3.45
3 P 0.0465 0.2500 0.0787  5 Ru 2.37-2.44, 1 P 2.44
4 P 0.2500 0.0465 0.5787  5 Ru 2.37-2.44, 1 P 2.44
5 P 0.2500 0.4535 0.5787  5 Ru 2.37-2.44, 1 P 2.44
6 P 0.4535 0.2500 0.0787  5 Ru 2.37-2.44, 1 P 2.44
7 P 0.5465 0.7500 0.9213  5 Ru 2.37-2.44, 1 P 2.44
8 P 0.7500 0.5465 0.4213  5 Ru 2.37-2.44, 1 P 2.44
9 P 0.7500 0.9535 0.4213  5 Ru 2.37-2.44, 1 P 2.44
10 P 0.9535 0.7500 0.9213  5 Ru 2.37-2.44, 1 P 2.44
11 Ru 0.0200 0.2500 0.3768  5 P 2.37-2.44
12 Ru 0.2500 0.0200 0.8768  5 P 2.37-2.44
13 Ru 0.2500 0.4800 0.8768  5 P 2.37-2.44
14 Ru 0.4800 0.2500 0.3768  5 P 2.37-2.44
15 Ru 0.5200 0.7500 0.6232  5 P 2.37-2.44
16 Ru 0.7500 0.5200 0.1232  5 P 2.37-2.44
17 Ru 0.7500 0.9800 0.1232  5 P 2.37-2.44
18 Ru 0.9800 0.7500 0.6232  5 P 2.37-2.44